# CsScP2S GGA-PBE relaxed
# E above lowest polymorph ... 0.000 eV per atom
# E_form (uncorrected) ... -297.5 meV/atom
data_CsScP2S
_chemical_formula_sum 'Cs1 Sc1 P2 S1'
_symmetry_space_group_name_H-M 'P 4/m m m'
_symmetry_Int_Tables_number 123
_symmetry_space_group_name_Hall '-P 4 2'
_cell_length_a 5.1599
_cell_length_b 5.1599
_cell_length_c 5.1397
_cell_angle_alpha 90.00
_cell_angle_beta 90.00
_cell_angle_gamma 90.00
loop_
_atom_site_label
_atom_site_type_symbol
_atom_site_fract_x
_atom_site_fract_y
_atom_site_fract_z
_atom_site_occupancy
Cs1 Cs 0.0000 0.0000 0.0000 1
Sc1 Sc 0.5000 0.5000 0.5000 1
P1 P 0.0000 0.5000 0.5000 1
S1 S 0.5000 0.5000 0.0000 1



# SrAg6 GGA-PBE relaxed
# DFT formation energy ... 555.8 meV per atom
# E above lowest polymorph ... 0.686 eV per atom
data_SrAg6
_chemical_formula_sum 'Sr1 Ag6'
_symmetry_space_group_name_H-M 'P m -3 m'
_symmetry_Int_Tables_number 221
_symmetry_space_group_name_Hall '-P 4 2 3'
_cell_length_a 6.4431
_cell_length_b 6.4431
_cell_length_c 6.4431
_cell_angle_alpha 90.00
_cell_angle_beta 90.00
_cell_angle_gamma 90.00
loop_
_atom_site_label
_atom_site_type_symbol
_atom_site_fract_x
_atom_site_fract_y
_atom_site_fract_z
_atom_site_occupancy
Sr1 Sr 0.0000 0.0000 0.0000 1
Ag1 Ag 0.1985 0.5000 0.5000 1



# SrCr2Ge GGA-PBE relaxed
# DFT formation energy ... 564.6 meV per atom
data_SrCr2Ge
_chemical_formula_sum 'Sr4 Cr8 Ge4'
_symmetry_space_group_name_H-M 'I 41/a m d'
_symmetry_Int_Tables_number 141
_cell_length_a 4.5524
_cell_length_b 4.5524
_cell_length_c 17.7918
_cell_angle_alpha 90.00
_cell_angle_beta 90.00
_cell_angle_gamma 90.00
loop_
_symmetry_equiv_pos_as_xyz
'x,y,z'
'-x,-y,-z'
'-y+1/4,x+3/4,z+1/4'
'y+1/4,-x+3/4,-z+1/4'
'-x+1/2,-y,z+1/2'
'x+1/2,y,-z+1/2'
'y+1/4,-x+1/4,z+3/4'
'-y+1/4,x+1/4,-z+3/4'
'x,-y,-z'
'-x,y,z'
'-y+1/4,-x+1/4,-z+3/4'
'y+1/4,x+1/4,z+3/4'
'-x+1/2,y,-z+1/2'
'x+1/2,-y,z+1/2'
'y+1/4,x+3/4,-z+1/4'
'-y+1/4,-x+3/4,z+1/4'
'x+1/2,y+1/2,z+1/2'
'-x+1/2,-y+1/2,-z+1/2'
'-y+3/4,x+1/4,z+3/4'
'y+3/4,-x+1/4,-z+3/4'
'-x,-y+1/2,z'
'x,y+1/2,-z'
'y+3/4,-x+3/4,z+1/4'
'-y+3/4,x+3/4,-z+1/4'
'x+1/2,-y+1/2,-z+1/2'
'-x+1/2,y+1/2,z+1/2'
'-y+3/4,-x+3/4,-z+1/4'
'y+3/4,x+3/4,z+1/4'
'-x,y+1/2,-z'
'x,-y+1/2,z'
'y+3/4,x+1/4,-z+3/4'
'-y+3/4,-x+1/4,z+3/4'
loop_
_atom_site_label
_atom_site_type_symbol
_atom_site_fract_x
_atom_site_fract_y
_atom_site_fract_z
_atom_site_occupancy
Sr1 Sr 0.0000 0.2500 0.3750 1
Cr1 Cr 0.0000 0.0000 0.0000 1
Ge1 Ge 0.0000 0.2500 0.8750 1



# La3TlOs GGA-PBE relaxed
# DFT formation energy ... -189.6 meV per atom
# E above lowest polymorph ... 0.047 eV per atom
data_La3TlOs
_chemical_formula_sum 'La3 Tl1 Os1'
_symmetry_space_group_name_H-M 'P m -3 m'
_symmetry_Int_Tables_number 221
_symmetry_space_group_name_Hall '-P 4 2 3'
_cell_length_a 5.5731
_cell_length_b 5.5731
_cell_length_c 5.5731
_cell_angle_alpha 90.00
_cell_angle_beta 90.00
_cell_angle_gamma 90.00
loop_
_atom_site_label
_atom_site_type_symbol
_atom_site_fract_x
_atom_site_fract_y
_atom_site_fract_z
_atom_site_occupancy
La1 La 0.0000 0.0000 0.5000 1
Tl1 Tl 0.5000 0.5000 0.5000 1
Os1 Os 0.0000 0.0000 0.0000 1



# LiGdTiTc GGA-PBE relaxed
# DFT formation energy ... 7.7 meV per atom
data_LiGdTiTc
_chemical_formula_sum 'Li4 Gd4 Ti4 Tc4'
_symmetry_space_group_name_H-M 'F -4 3 m'
_symmetry_Int_Tables_number 216
_symmetry_space_group_name_Hall 'F -4 2 3'
_cell_length_a 6.6109
_cell_length_b 6.6109
_cell_length_c 6.6109
_cell_angle_alpha 90.00
_cell_angle_beta 90.00
_cell_angle_gamma 90.00
loop_
_atom_site_label
_atom_site_type_symbol
_atom_site_fract_x
_atom_site_fract_y
_atom_site_fract_z
_atom_site_occupancy
Li1 Li 0.0000 0.0000 0.0000 1
Gd1 Gd 0.2500 0.2500 0.7500 1
Ti1 Ti 0.2500 0.2500 0.2500 1
Tc1 Tc 0.0000 0.0000 0.5000 1



# TcSn2Ru GGA-PBE relaxed
# DFT formation energy ... 39.8 meV per atom
# E above lowest polymorph ... 0.011 eV per atom
data_TcSn2Ru
_chemical_formula_sum 'Tc4 Sn8 Ru4'
_symmetry_space_group_name_H-M 'F m -3 m'
_symmetry_Int_Tables_number 225
_symmetry_space_group_name_Hall '-F 4 2 3'
_cell_length_a 6.5643
_cell_length_b 6.5643
_cell_length_c 6.5643
_cell_angle_alpha 90.00
_cell_angle_beta 90.00
_cell_angle_gamma 90.00
loop_
_atom_site_label
_atom_site_type_symbol
_atom_site_fract_x
_atom_site_fract_y
_atom_site_fract_z
_atom_site_occupancy
Tc1 Tc 0.0000 0.0000 0.0000 1
Sn1 Sn 0.2500 0.2500 0.2500 1
Ru1 Ru 0.0000 0.0000 0.5000 1



# NbAgN2 GGA-PBE relaxed
# E above lowest polymorph ... 0.998 eV per atom
# E_form (uncorrected) ... 737.2 meV/atom
data_NbAgN2
_chemical_formula_sum 'Nb4 Ag4 N8'
_symmetry_space_group_name_H-M 'F m -3 m'
_symmetry_Int_Tables_number 225
_symmetry_space_group_name_Hall '-F 4 2 3'
_cell_length_a 5.6102
_cell_length_b 5.6102
_cell_length_c 5.6102
_cell_angle_alpha 90.00
_cell_angle_beta 90.00
_cell_angle_gamma 90.00
loop_
_atom_site_label
_atom_site_type_symbol
_atom_site_fract_x
_atom_site_fract_y
_atom_site_fract_z
_atom_site_occupancy
Nb1 Nb 0.0000 0.0000 0.0000 1
Ag1 Ag 0.0000 0.0000 0.5000 1
N1 N 0.2500 0.2500 0.2500 1



# ZrCoMo GGA-PBE relaxed
# DFT formation energy ... 49.4 meV per atom
# E above lowest polymorph ... 0.000 eV per atom
data_ZrCoMo
_chemical_formula_sum 'Zr4 Co4 Mo4'
_symmetry_space_group_name_H-M 'C m c m'
_symmetry_Int_Tables_number 63
_symmetry_space_group_name_Hall '-C 2c 2'
_cell_length_a 4.1014
_cell_length_b 10.3757
_cell_length_c 4.6367
_cell_angle_alpha 90.00
_cell_angle_beta 90.00
_cell_angle_gamma 90.00
loop_
_atom_site_label
_atom_site_type_symbol
_atom_site_fract_x
_atom_site_fract_y
_atom_site_fract_z
_atom_site_occupancy
Zr1 Zr 0.0000 0.1095 0.2500 1
Co1 Co 0.0000 0.2146 0.7500 1
Mo1 Mo 0.0000 0.4170 0.2500 1



Repeat the first record exactly.
# CsScP2S GGA-PBE relaxed
# E above lowest polymorph ... 0.000 eV per atom
# E_form (uncorrected) ... -297.5 meV/atom
data_CsScP2S
_chemical_formula_sum 'Cs1 Sc1 P2 S1'
_symmetry_space_group_name_H-M 'P 4/m m m'
_symmetry_Int_Tables_number 123
_symmetry_space_group_name_Hall '-P 4 2'
_cell_length_a 5.1599
_cell_length_b 5.1599
_cell_length_c 5.1397
_cell_angle_alpha 90.00
_cell_angle_beta 90.00
_cell_angle_gamma 90.00
loop_
_atom_site_label
_atom_site_type_symbol
_atom_site_fract_x
_atom_site_fract_y
_atom_site_fract_z
_atom_site_occupancy
Cs1 Cs 0.0000 0.0000 0.0000 1
Sc1 Sc 0.5000 0.5000 0.5000 1
P1 P 0.0000 0.5000 0.5000 1
S1 S 0.5000 0.5000 0.0000 1